# Hg2RuPb, relaxed, DFT PBE
# **ΔE_f**: 0.363 eV per atom
data_Hg2RuPb
_space_group_name_H-M_alt 'P 4 m m'
_space_group_IT_number 99
_space_group_name_Hall 'P 4 -2'
_cell_length_a 3.342
_cell_length_b 3.342
_cell_length_c 8.120
_cell_angle_alpha 90.00
_cell_angle_beta 90.00
_cell_angle_gamma 90.00
loop_
_atom_site_label
_atom_site_type_symbol
_atom_site_fract_x
_atom_site_fract_y
_atom_site_fract_z
Hg1 Hg 0.000 0.000 0.000
Hg2 Hg 0.500 0.500 0.282
Ru1 Ru 0.500 0.500 0.797
Pb1 Pb 0.000 0.000 0.600

---

# Ac2Si6Ir9, relaxed, DFT PBE
# **Raw formation energy**: -699 meV per atom
data_Ac2Si6Ir9
_space_group_name_H-M_alt 'P 6/m m m'
_space_group_IT_number 191
_space_group_name_Hall '-P 6 2'
_cell_length_a 5.7701
_cell_length_b 5.7701
_cell_length_c 10.7116
_cell_angle_alpha 90.00
_cell_angle_beta 90.00
_cell_angle_gamma 120.00
loop_
_atom_site_label
_atom_site_type_symbol
_atom_site_fract_x
_atom_site_fract_y
_atom_site_fract_z
Ac1 Ac 0.0000 0.0000 0.1941
Si1 Si 0.3333 0.6667 0.1668
Si2 Si 0.3333 0.6667 0.5000
Ir1 Ir 0.0000 0.5000 0.0000
Ir2 Ir 0.0000 0.5000 0.3357

---

# YNbH3, relaxed, DFT PBE
# **Offset from the most stable computed form**: 0 meV/atom
data_YNbH3
_space_group_name_H-M_alt 'P m -3 m'
_space_group_IT_number 221
_space_group_name_Hall '-P 4 2 3'
_cell_length_a 3.783
_cell_length_b 3.783
_cell_length_c 3.783
_cell_angle_alpha 90.00
_cell_angle_beta 90.00
_cell_angle_gamma 90.00
loop_
_atom_site_label
_atom_site_type_symbol
_atom_site_fract_x
_atom_site_fract_y
_atom_site_fract_z
Y1 Y 0.000 0.000 0.000
Nb1 Nb 0.500 0.500 0.500
H1 H 0.000 0.500 0.500

---

# Cs4TeIF, relaxed, DFT PBE
# **Raw formation energy**: -1602 meV per atom
data_Cs4TeIF
_space_group_name_H-M_alt 'P 1 21/m 1'
_space_group_IT_number 11
_space_group_name_Hall '-P 2yb'
_cell_length_a 8.735
_cell_length_b 8.185
_cell_length_c 10.979
_cell_angle_alpha 90.00
_cell_angle_beta 108.19
_cell_angle_gamma 90.00
loop_
_atom_site_label
_atom_site_type_symbol
_atom_site_fract_x
_atom_site_fract_y
_atom_site_fract_z
Cs1 Cs 0.002 0.000 0.264
Cs2 Cs 0.403 0.250 0.560
Cs3 Cs 0.426 0.250 0.144
Te1 Te 0.232 0.750 0.558
I1 I 0.274 0.750 0.068
F1 F 0.222 0.250 0.293

---

# Nb3O5F, relaxed, DFT PBE
# **Raw formation energy**: -2357 meV per atom
data_Nb3O5F
_space_group_name_H-M_alt 'C 1 2/m 1'
_space_group_IT_number 12
_space_group_name_Hall '-C 2y'
_cell_length_a 9.330
_cell_length_b 7.118
_cell_length_c 7.879
_cell_angle_alpha 90.00
_cell_angle_beta 120.44
_cell_angle_gamma 90.00
loop_
_atom_site_label
_atom_site_type_symbol
_atom_site_fract_x
_atom_site_fract_y
_atom_site_fract_z
Nb1 Nb 0.000 0.000 0.000
Nb2 Nb 0.000 0.000 0.500
Nb3 Nb 0.153 0.500 0.168
Nb4 Nb 0.179 0.500 0.674
O1 O 0.000 0.295 0.500
O2 O 0.077 0.500 0.863
O3 O 0.166 0.217 0.166
O4 O 0.230 0.000 0.513
F1 F 0.094 0.000 0.811

---

# Nd2NpPdS5, relaxed, DFT PBE
# **Raw formation energy**: -1515 meV per atom
data_Nd2NpPdS5
_space_group_name_H-M_alt 'C m c 21'
_space_group_IT_number 36
_space_group_name_Hall 'C 2c -2'
_cell_length_a 3.923
_cell_length_b 16.744
_cell_length_c 11.884
_cell_angle_alpha 90.00
_cell_angle_beta 90.00
_cell_angle_gamma 90.00
loop_
_atom_site_label
_atom_site_type_symbol
_atom_site_fract_x
_atom_site_fract_y
_atom_site_fract_z
Nd1 Nd 0.000 0.111 0.000
Nd2 Nd 0.000 0.120 0.626
Np1 Np 0.000 0.194 0.322
Pd1 Pd 0.000 0.446 0.751
S1 S 0.000 0.042 0.367
S2 S 0.000 0.293 0.981
S3 S 0.000 0.307 0.661
S4 S 0.000 0.357 0.315
S5 S 0.000 0.495 0.069

---

# PrSmSe, relaxed, DFT PBE
# **Raw formation energy**: -1097 meV per atom
# **Offset from the most stable computed form**: 0 meV/atom
data_PrSmSe
_space_group_name_H-M_alt 'P 3 m 1'
_space_group_IT_number 156
_space_group_name_Hall 'P 3 -2"'
_cell_length_a 4.0201
_cell_length_b 4.0201
_cell_length_c 6.7488
_cell_angle_alpha 90.00
_cell_angle_beta 90.00
_cell_angle_gamma 120.00
loop_
_atom_site_label
_atom_site_type_symbol
_atom_site_fract_x
_atom_site_fract_y
_atom_site_fract_z
Pr1 Pr 0.0000 0.0000 0.0000
Sm1 Sm 0.6667 0.3333 0.5505
Se1 Se 0.3333 0.6667 0.2828

---

# Tl2AuS2, relaxed, DFT PBE
# **Raw formation energy**: -158 meV per atom
# **Offset from the most stable computed form**: 27 meV/atom
data_Tl2AuS2
_space_group_name_H-M_alt 'P b a m'
_space_group_IT_number 55
_space_group_name_Hall '-P 2 2ab'
_cell_length_a 6.399
_cell_length_b 11.086
_cell_length_c 3.694
_cell_angle_alpha 90.00
_cell_angle_beta 90.00
_cell_angle_gamma 90.00
loop_
_atom_site_label
_atom_site_type_symbol
_atom_site_fract_x
_atom_site_fract_y
_atom_site_fract_z
Tl1 Tl 0.063 0.159 0.000
Au1 Au 0.000 0.500 0.000
S1 S 0.162 0.382 0.500

---

# GaFe3S, relaxed, DFT PBE
# **Raw formation energy**: 1143 meV per atom
# **Offset from the most stable computed form**: 961 meV/atom
data_GaFe3S
_space_group_name_H-M_alt 'P m -3 m'
_space_group_IT_number 221
_space_group_name_Hall '-P 4 2 3'
_cell_length_a 4.469
_cell_length_b 4.469
_cell_length_c 4.469
_cell_angle_alpha 90.00
_cell_angle_beta 90.00
_cell_angle_gamma 90.00
loop_
_atom_site_label
_atom_site_type_symbol
_atom_site_fract_x
_atom_site_fract_y
_atom_site_fract_z
Ga1 Ga 0.000 0.000 0.000
Fe1 Fe 0.000 0.000 0.500
S1 S 0.500 0.500 0.500

---

# AcLa9Tm4, relaxed, DFT PBE
# **ΔE_f**: 0.157 eV per atom
data_AcLa9Tm4
_space_group_name_H-M_alt 'P 63/m m c'
_space_group_IT_number 194
_space_group_name_Hall '-P 6c 2c'
_cell_length_a 10.0774
_cell_length_b 10.0774
_cell_length_c 11.6446
_cell_angle_alpha 90.00
_cell_angle_beta 90.00
_cell_angle_gamma 120.00
loop_
_atom_site_label
_atom_site_type_symbol
_atom_site_fract_x
_atom_site_fract_y
_atom_site_fract_z
Ac1 Ac 0.3333 0.6667 0.2500
La1 La 0.0867 0.5434 0.7500
La2 La 0.2038 0.4076 0.0239
Tm1 Tm 0.0000 0.0000 0.0000
Tm2 Tm 0.1087 0.2173 0.7500

---

# LaNd2Tm4, relaxed, DFT PBE
# **ΔE_f**: 0.576 eV per atom
# **Offset from the most stable computed form**: 352 meV/atom
data_LaNd2Tm4
_space_group_name_H-M_alt 'I m m a'
_space_group_IT_number 74
_space_group_name_Hall '-I 2b 2'
_cell_length_a 6.467
_cell_length_b 8.277
_cell_length_c 18.639
_cell_angle_alpha 90.00
_cell_angle_beta 90.00
_cell_angle_gamma 90.00
loop_
_atom_site_label
_atom_site_type_symbol
_atom_site_fract_x
_atom_site_fract_y
_atom_site_fract_z
La1 La 0.250 0.250 0.250
Nd1 Nd 0.000 0.000 0.000
Nd2 Nd 0.000 0.250 0.613
Tm1 Tm 0.000 0.063 0.813
Tm2 Tm 0.243 0.250 0.412

---

# ZnTc2Au, relaxed, DFT PBE
# **ΔE_f**: 0.322 eV per atom
data_ZnTc2Au
_space_group_name_H-M_alt 'P 4/m m m'
_space_group_IT_number 123
_space_group_name_Hall '-P 4 2'
_cell_length_a 2.664
_cell_length_b 2.664
_cell_length_c 8.595
_cell_angle_alpha 90.00
_cell_angle_beta 90.00
_cell_angle_gamma 90.00
loop_
_atom_site_label
_atom_site_type_symbol
_atom_site_fract_x
_atom_site_fract_y
_atom_site_fract_z
Zn1 Zn 0.000 0.000 0.000
Tc1 Tc 0.500 0.500 0.238
Au1 Au 0.000 0.000 0.500

---

Number 2 is which compound? Ac2Si6Ir9

---

Copy entry 2 word for word.
# Ac2Si6Ir9, relaxed, DFT PBE
# **Raw formation energy**: -699 meV per atom
data_Ac2Si6Ir9
_space_group_name_H-M_alt 'P 6/m m m'
_space_group_IT_number 191
_space_group_name_Hall '-P 6 2'
_cell_length_a 5.7701
_cell_length_b 5.7701
_cell_length_c 10.7116
_cell_angle_alpha 90.00
_cell_angle_beta 90.00
_cell_angle_gamma 120.00
loop_
_atom_site_label
_atom_site_type_symbol
_atom_site_fract_x
_atom_site_fract_y
_atom_site_fract_z
Ac1 Ac 0.0000 0.0000 0.1941
Si1 Si 0.3333 0.6667 0.1668
Si2 Si 0.3333 0.6667 0.5000
Ir1 Ir 0.0000 0.5000 0.0000
Ir2 Ir 0.0000 0.5000 0.3357